Density functional theory data (PBE) for Dy6CuBi2 after structural relaxation.

Unit cell a=6.415 b=8.029 c=12.013 alpha=90.00 beta=122.01 gamma=90.00
Element x y z (fractional)
Dy 0.088 0.199 0.460
Dy 0.088 0.301 0.960
Dy 0.330 0.672 0.462
Dy 0.330 0.828 0.962
Dy 0.382 0.029 0.244
Dy 0.382 0.471 0.744
Dy 0.618 0.529 0.256
Dy 0.618 0.971 0.756
Dy 0.670 0.172 0.038
Dy 0.670 0.328 0.538
Dy 0.912 0.699 0.040
Dy 0.912 0.801 0.540
Cu 0.500 0.000 0.500
Cu 0.500 0.500 0.000
Bi 0.138 0.113 0.743
Bi 0.138 0.387 0.243
Bi 0.862 0.613 0.757
Bi 0.862 0.887 0.257

Summary:
Crystal system = monoclinic
Final energy = -4.76 eV/atom
M_tot = 0.00 Bohr magnetons per cell
ΔE_f = -0.375 eV per atom
Space group = P2_1/c, No. 14